Record 1
VASP calculation (PBE) on crystalline PmPd3Au at its relaxed geometry.

Cell lengths 4.561, 6.162, 6.933 Å; angles 90.00, 90.00, 90.00 degrees
Element x y z (fractional)
Au (0.000, 0.000, 0.551)
Au (0.500, 0.500, 0.449)
Pd (0.000, 0.712, 0.246)
Pd (0.500, 0.500, 0.066)
Pd (0.000, 0.288, 0.246)
Pd (0.500, 0.212, 0.754)
Pd (0.500, 0.788, 0.754)
Pd (0.000, 0.000, 0.934)
Pm (0.500, 0.000, 0.216)
Pm (0.000, 0.500, 0.784)

Summary:
Excess energy over the best structure of this formula in the dataset in eV per atom: 0.000
Space-group type: No. 59



Record 2
VASP calculation (PBE) on crystalline PuBe5Pd4 at its relaxed geometry.

Cell lengths 2.847, 2.847, 15.225 Å; angles 90.00, 90.00, 90.00 degrees
Each line ends with the local moment (μB).
Element x y z (fractional)
Pd (0.000, 0.000, 0.222)  -0.01
Pd (0.000, 0.000, 0.778)  -0.01
Pd (0.000, 0.000, 0.408)  -0.02
Pd (0.000, 0.000, 0.592)  -0.02
Be (0.500, 0.500, 0.314)  -0.01
Be (0.500, 0.500, 0.686)  -0.01
Be (0.500, 0.500, 0.138)  -0.03
Be (0.500, 0.500, 0.500)  0.00
Be (0.500, 0.500, 0.862)  -0.03
Pu (0.000, 0.000, 0.000)  4.85

Summary:
Space-group type: No. 123



Computed values of DFT total energy (unit: hartree per atom) for the preceding records, in sequence: -0.193; -0.213.
Computed values of theoretical density (unit: g/cm³) for the preceding records, in sequence: 11.3; 9.6.